Record 1
Compound: Er5GaSb2
Source: Alexandria via LeMat-Bulk
Functional: PBE-GGA
Structure: relaxed

Values from the calculation:
calculated density	7716	kg/m³
formation energy (no corrections)	-0.3709	eV per atom
DOS(E_F)	30.7	states/eV/cell
magnetic moment	0.0	Bohr magnetons per cell

abc: 5.892 11.890 14.124
angles: 90.00 90.00 90.00
Space group Cmcm (No. 63)
Unique sites:
Er  0.000  0.069  0.113 x8
Er  0.000  0.337  0.750 x4
Er  0.000  0.376  0.071 x8
Ga  0.000  0.246  0.250 x4
Sb  0.000  0.185  0.580 x8



Record 2
Compound: ErGa4Sb
Source: Alexandria via LeMat-Bulk
Functional: PBE-GGA
Structure: relaxed

Values from the calculation:
calculated density	7653	kg/m³
formation energy (no corrections)	-0.2143	eV per atom
DOS(E_F)	14.5	states/eV/cell
magnetic moment	0.0	Bohr magnetons per cell

abc: 7.899 7.899 7.899
angles: 90.00 90.00 90.00
Space group F-43m (No. 216)
Unique sites:
Er  0.000  0.000  0.000 x4
Ga  0.125  0.125  0.625 x16
Sb  0.250  0.250  0.250 x4